1.
Material: NaNb3Ge5
Method: DFT, PBE
State: optimized geometry

Calculated total energy in eV/atom: -6.1740

Cell: 5.691 5.691 6.675 Å, 90.00 90.00 120.00°
Sites, in units of the cell vectors:
Ge (0.667, 0.333, 0.183)
Ge (0.333, 0.667, 0.183)
Ge (0.000, 0.000, 0.500)
Ge (0.667, 0.333, 0.817)
Ge (0.333, 0.667, 0.817)
Na (0.000, 0.000, 0.000)
Nb (0.500, 0.000, 0.500)
Nb (0.000, 0.500, 0.500)
Nb (0.500, 0.500, 0.500)



2.
Material: NaNbGeO5
Method: DFT, PBE
State: optimized geometry

Calculated total energy in eV/atom: -7.2320
Energy above the lowest structure with this stoichiometry in meV per atom: 8

Cell: 5.606 5.606 7.410 Å, 104.39 104.39 105.74°
Sites, in units of the cell vectors:
Ge (0.317, 0.683, 0.250)
Ge (0.683, 0.317, 0.750)
Na (0.671, 0.329, 0.250)
Na (0.329, 0.671, 0.750)
Nb (0.000, 0.000, 0.000)
Nb (0.000, 0.000, 0.500)
O (0.248, 0.370, 0.082)
O (0.313, 0.900, 0.115)
O (0.930, 0.070, 0.250)
O (0.100, 0.687, 0.385)
O (0.630, 0.752, 0.418)
O (0.370, 0.248, 0.582)
O (0.900, 0.313, 0.615)
O (0.070, 0.930, 0.750)
O (0.687, 0.100, 0.885)
O (0.752, 0.630, 0.918)



3.
Material: NaNbGeO5
Method: DFT, PBE
State: optimized geometry

Calculated total energy in eV/atom: -7.2399
Energy above the lowest structure with this stoichiometry in meV per atom: 0

Cell: 6.719 8.947 7.523 Å, 90.00 114.69 90.00°
Sites, in units of the cell vectors:
Ge (0.245, 0.063, 0.247)
Ge (0.755, 0.563, 0.253)
Ge (0.245, 0.437, 0.747)
Ge (0.755, 0.937, 0.753)
Na (0.241, 0.417, 0.205)
Na (0.759, 0.917, 0.295)
Na (0.241, 0.083, 0.705)
Na (0.759, 0.583, 0.795)
Nb (0.740, 0.239, 0.020)
Nb (0.260, 0.739, 0.480)
Nb (0.740, 0.261, 0.520)
Nb (0.260, 0.761, 0.980)
O (0.050, 0.181, 0.075)
O (0.568, 0.689, 0.085)
O (0.855, 0.450, 0.117)
O (0.368, 0.954, 0.126)
O (0.253, 0.675, 0.245)
O (0.747, 0.175, 0.255)
O (0.632, 0.454, 0.374)
O (0.145, 0.950, 0.383)
O (0.432, 0.189, 0.415)
O (0.950, 0.681, 0.425)
O (0.050, 0.319, 0.575)
O (0.568, 0.811, 0.585)
O (0.855, 0.050, 0.617)
O (0.368, 0.546, 0.626)
O (0.253, 0.825, 0.745)
O (0.747, 0.325, 0.755)
O (0.632, 0.046, 0.874)
O (0.145, 0.550, 0.883)
O (0.432, 0.311, 0.915)
O (0.950, 0.819, 0.925)



4.
Material: Na2Nb2SiGeOs2
Method: DFT, PBE
State: optimized geometry

Calculated total energy in eV/atom: -6.8651

Cell: 4.446 4.446 6.291 Å, 90.00 90.00 90.00°
Sites, in units of the cell vectors:
Ge (0.500, 0.500, 0.000)
Na (0.000, 0.500, 0.251)
Na (0.500, 0.000, 0.749)
Nb (0.000, 0.000, 0.000)
Nb (0.500, 0.500, 0.500)
Os (0.500, 0.000, 0.254)
Os (0.000, 0.500, 0.746)
Si (0.000, 0.000, 0.500)



5.
Material: NaNdGe
Method: DFT, PBE
State: optimized geometry

Calculated total energy in eV/atom: -3.5829

Cell: 4.756 4.756 4.756 Å, 60.00 60.00 60.00°
Sites, in units of the cell vectors:
Ge (0.250, 0.250, 0.250)
Na (0.000, 0.000, 0.000)
Nd (0.750, 0.750, 0.750)



6.
Material: NaNd3GeS7
Method: DFT, PBE
State: optimized geometry

Calculated total energy in eV/atom: -5.6288

Cell: 10.268 10.268 5.858 Å, 90.00 90.00 120.00°
Sites, in units of the cell vectors:
Ge (0.667, 0.333, 0.333)
Ge (0.333, 0.667, 0.833)
Na (0.000, 0.000, 0.481)
Na (0.000, 0.000, 0.981)
Nd (0.130, 0.361, 0.251)
Nd (0.639, 0.769, 0.251)
Nd (0.231, 0.870, 0.251)
Nd (0.769, 0.130, 0.751)
Nd (0.361, 0.231, 0.751)
Nd (0.870, 0.639, 0.751)
S (0.835, 0.095, 0.228)
S (0.260, 0.165, 0.228)
S (0.905, 0.740, 0.228)
S (0.333, 0.667, 0.456)
S (0.520, 0.105, 0.489)
S (0.895, 0.415, 0.489)
S (0.585, 0.480, 0.489)
S (0.095, 0.260, 0.728)
S (0.740, 0.835, 0.728)
S (0.165, 0.905, 0.728)
S (0.667, 0.333, 0.956)
S (0.415, 0.520, 0.989)
S (0.105, 0.585, 0.989)
S (0.480, 0.895, 0.989)